1.
Here is an optimized crystal structure of TbMgTlIr from Alexandria. Energies are from GGA-PBE.

## Properties
VASP energy: -4.65 eV per atom

POSCAR file:
```
TbMgTlIr
1.0
0.0000 3.4841 3.4841
3.4841 0.0000 3.4841
3.4841 3.4841 0.0000
Tb Mg Tl Ir
1 1 1 1
direct
0.0000 0.0000 0.0000
0.5000 0.5000 0.5000
0.2500 0.2500 0.2500
0.7500 0.7500 0.7500
```



2.
Here is an optimized crystal structure of SiSb2Te from Alexandria. Energies are from GGA-PBE.

## Properties
Energy relative to the lowest polymorph listed for this composition: 0.102 eV/atom
Formation energy without anion corrections: 0.186 eV/atom
VASP energy: -4.02 eV per atom

POSCAR file:
```
SiSb2Te
1.0
4.7862 0.0000 0.0000
0.0000 4.1028 0.0000
-2.2072 0.0000 6.1203
Si Sb Te
1 2 1
direct
0.0000 0.0000 0.0000
0.4508 0.5000 0.1783
0.8996 0.0000 0.3844
0.6258 0.5000 0.7936
```



3.
Here is an optimized crystal structure of Ho2MgScO from Alexandria. Energies are from GGA-PBE.

## Properties
Formation energy without anion corrections: -1.198 eV/atom
VASP energy: -5.61 eV per atom

POSCAR file:
```
Ho2MgScO
1.0
4.8359 0.0000 0.0000
0.0000 4.8359 0.0000
0.0000 0.0000 4.4581
Ho Mg Sc O
2 1 1 1
direct
0.0000 0.5000 0.0000
0.5000 0.0000 0.0000
0.0000 0.0000 0.5000
0.5000 0.5000 0.5000
0.5000 0.5000 0.0000
```



4.
Here is an optimized crystal structure of TbEr7Cd2 from Alexandria. Energies are from GGA-PBE.

## Properties
VASP energy: -3.42 eV per atom

POSCAR file:
```
TbEr7Cd2
1.0
4.4537 -7.7874 0.0000
4.4537 7.7874 0.0000
0.0000 0.0000 5.2133
Tb Er Cd
1 7 2
direct
0.0000 0.0000 0.0000
0.0645 0.2990 0.5000
0.2243 0.7757 0.0000
0.2990 0.0645 0.5000
0.5000 0.5000 0.5000
0.7010 0.9355 0.5000
0.7757 0.2243 0.0000
0.9355 0.7010 0.5000
0.3043 0.6957 0.5000
0.6957 0.3043 0.5000
```



5.
Here is an optimized crystal structure of Sm4Tl3Ru from Alexandria. Energies are from GGA-PBE.

## Properties
VASP energy: -4.75 eV per atom

POSCAR file:
```
Sm4Tl3Ru
1.0
3.5743 0.0000 0.0000
0.0000 3.5743 0.0000
0.0000 0.0000 16.8219
Sm Tl Ru
4 3 1
direct
0.0000 0.0000 0.0999
0.0000 0.0000 0.3685
0.0000 0.0000 0.6315
0.0000 0.0000 0.9001
0.5000 0.5000 0.2396
0.5000 0.5000 0.5000
0.5000 0.5000 0.7604
0.5000 0.5000 0.0000
```



6.
Here is an optimized crystal structure of Mg5In2AgIr2 from Alexandria. Energies are from GGA-PBE.

## Properties
VASP energy: -3.63 eV per atom

POSCAR file:
```
Mg5In2AgIr2
1.0
9.6221 0.0000 0.0000
0.0000 9.6221 0.0000
0.0000 0.0000 4.1917
Mg In Ag Ir
10 4 2 4
direct
0.0000 0.5000 0.0000
0.0776 0.2060 0.0000
0.2060 0.9224 0.0000
0.2940 0.4224 0.0000
0.4224 0.7060 0.0000
0.5000 0.0000 0.0000
0.5776 0.2940 0.0000
0.7060 0.5776 0.0000
0.7940 0.0776 0.0000
0.9224 0.7940 0.0000
0.1720 0.6720 0.5000
0.3280 0.1720 0.5000
0.6720 0.8280 0.5000
0.8280 0.3280 0.5000
0.0000 0.0000 0.5000
0.5000 0.5000 0.5000
0.1215 0.3785 0.5000
0.3785 0.8785 0.5000
0.6215 0.1215 0.5000
0.8785 0.6215 0.5000
```